VASP calculation (meta-GGA SCAN) on LaBeN3 at its PBEsol-relaxed geometry.

ΔE_f (raw) ... -4.5 kJ/mol of atoms
Space-group type ... Pm-3m
Spin magnetization ... 0.000 μB/atom

Cell: 3.7005 3.7005 3.7005 Å, 90.00 90.00 90.00°
Fractional coordinates of all 5 atoms:
1 Be 0.0000 0.0000 0.0000
2 N 0.0000 0.5000 0.0000
3 N 0.0000 0.0000 0.5000
4 N 0.5000 0.0000 0.0000
5 La 0.5000 0.5000 0.5000